Compound: KRb2HAu
Source: Alexandria
Functional: PBE
Structure: relaxed

abc: 10.027 10.027 9.082
angles: 90.00 90.00 153.96
Atoms (fractional coordinates):
K: 0.015 0.985 0.750
K: 0.985 0.015 0.250
Rb: 0.346 0.654 0.520
Rb: 0.346 0.654 0.980
Rb: 0.654 0.346 0.020
Rb: 0.654 0.346 0.480
H: 0.500 0.500 0.000
H: 0.500 0.500 0.500
Au: 0.190 0.810 0.750
Au: 0.810 0.190 0.250

The value obtained for the volume is 400.80 Å³ per cell. For the total energy, the calculation gives -2.04 eV per atom. As for the energy above the lowest structure with this stoichiometry: 0.011 eV/atom. Its space group is Cmcm (63). The density of states at the Fermi level is 5.27 states/eV per cell.



Compound: K6Rb2HAu3
Source: Alexandria
Functional: PBE
Structure: relaxed

abc: 9.403 9.403 7.723
angles: 91.93 91.93 56.83
Atoms (fractional coordinates):
K: 0.145 0.145 0.713
K: 0.168 0.689 0.724
K: 0.311 0.832 0.276
K: 0.689 0.168 0.724
K: 0.832 0.311 0.276
K: 0.855 0.855 0.287
Rb: 0.318 0.318 0.197
Rb: 0.682 0.682 0.803
H: 0.000 0.000 0.500
Au: 0.000 0.500 0.500
Au: 0.500 0.000 0.500
Au: 0.500 0.500 0.000

The value obtained for the volume is 571.13 Å³ per cell. For the total energy, the calculation gives -1.94 eV per atom. Its space group is C2/m (12). The density of states at the Fermi level is 7.79 states/eV per cell.